[1]
## Nb2SbH (PBE)

Data for an optimized crystal structure of Nb2SbH.

a = 6.4558 Å, b = 6.4558 Å, c = 6.4558 Å
α = 90.00°, β = 90.00°, γ = 90.00°
Space group Fm-3m (No. 225)
Symmetry-distinct sites (fractional):
Nb (0.2500, 0.2500, 0.2500) (multiplicity 8)
Sb (0.0000, 0.0000, 0.0000) (multiplicity 4)
H (0.0000, 0.0000, 0.5000) (multiplicity 4)

Output
- Polymorph energy (0 for the lowest one): 2.23 eV/f.u.

[2]
## CaLa3Ru (PBE)

Data for an optimized crystal structure of CaLa3Ru.

a = 6.5077 Å, b = 20.7370 Å, c = 5.7071 Å
α = 90.00°, β = 90.00°, γ = 90.00°
Space group Cmcm (No. 63)
Symmetry-distinct sites (fractional):
Ca (0.0000, 0.2144, 0.2500) (multiplicity 4)
La (0.0000, 0.0000, 0.0000) (multiplicity 4)
La (0.2396, 0.3814, 0.2500) (multiplicity 8)
Ru (0.0000, 0.4810, 0.2500) (multiplicity 4)

Output
- Polymorph energy (0 for the lowest one): 3.56 eV/f.u.
- Energy of formation: 261 kJ/mol of formula units

[3]
## KSm2AuS4 (PBE)

Data for an optimized crystal structure of KSm2AuS4.

a = 4.0991 Å, b = 13.7664 Å, c = 14.2906 Å
α = 90.00°, β = 90.00°, γ = 90.00°
Space group Cmcm (No. 63)
Symmetry-distinct sites (fractional):
K (0.0000, 0.1186, 0.2500) (multiplicity 4)
Sm (0.0000, 0.3680, 0.0668) (multiplicity 8)
Au (0.0000, 0.1573, 0.7500) (multiplicity 4)
S (0.0000, 0.0000, 0.0000) (multiplicity 4)
S (0.0000, 0.2646, 0.6055) (multiplicity 8)
S (0.0000, 0.4476, 0.2500) (multiplicity 4)

Output
- Formation energy from raw total energies: -1549 meV per atom

[4]
## MnPbW2 (PBE)

Data for an optimized crystal structure of MnPbW2.

a = 2.9592 Å, b = 2.9592 Å, c = 27.7358 Å
α = 90.00°, β = 90.00°, γ = 120.00°
Space group R-3m (No. 166, hexagonal axes)
Symmetry-distinct sites (fractional):
Mn (0.0000, 0.0000, 0.0000) (multiplicity 3)
Pb (0.0000, 0.0000, 0.5000) (multiplicity 3)
W (0.0000, 0.0000, 0.2616) (multiplicity 6)

Output
- Energy of formation: 325 kJ/mol of formula units

[5]
## Pm5PrRh4 (PBE)

Data for an optimized crystal structure of Pm5PrRh4.

a = 3.5498 Å, b = 3.5498 Å, c = 19.5068 Å
α = 90.00°, β = 90.00°, γ = 90.00°
Space group P4/mmm (No. 123)
Symmetry-distinct sites (fractional):
Pm (0.0000, 0.0000, 0.0000) (multiplicity 1)
Pm (0.0000, 0.0000, 0.1787) (multiplicity 2)
Pm (0.0000, 0.0000, 0.3546) (multiplicity 2)
Pr (0.5000, 0.5000, 0.5000) (multiplicity 1)
Rh (0.5000, 0.5000, 0.0901) (multiplicity 2)
Rh (0.5000, 0.5000, 0.2716) (multiplicity 2)

Output
- Energy of formation: -524 kJ/mol of formula units

[6]
## Pr2Sm3YHo6 (PBE)

Data for an optimized crystal structure of Pr2Sm3YHo6.

a = 6.2203 Å, b = 10.7690 Å, c = 11.8326 Å
α = 90.00°, β = 100.05°, γ = 90.00°
Space group C2/m (No. 12)
Symmetry-distinct sites (fractional):
Pr (0.0000, 0.1665, 0.0000) (multiplicity 4)
Sm (0.0000, 0.0000, 0.5000) (multiplicity 2)
Sm (0.0000, 0.3333, 0.5000) (multiplicity 4)
Y (0.0000, 0.5000, 0.0000) (multiplicity 2)
Ho (0.2492, 0.1666, 0.7488) (multiplicity 8)
Ho (0.2489, 0.5000, 0.7485) (multiplicity 4)

Output
- Energy of formation: 18 kJ/mol of formula units

[7]
## Ce2Gd (PBE)

Data for an optimized crystal structure of Ce2Gd.

a = 3.4274 Å, b = 3.4274 Å, c = 14.7345 Å
α = 90.00°, β = 90.00°, γ = 90.00°
Space group I4/mmm (No. 139)
Symmetry-distinct sites (fractional):
Ce (0.0000, 0.0000, 0.1732) (multiplicity 4)
Gd (0.0000, 0.0000, 0.5000) (multiplicity 2)

Output
- Polymorph energy (0 for the lowest one): 0.00 eV/f.u.
- Energy of formation: 22 kJ/mol of formula units

[8]
## GdInSb (PBE)

Data for an optimized crystal structure of GdInSb.

a = 5.1793 Å, b = 5.1793 Å, c = 3.5785 Å
α = 90.00°, β = 90.00°, γ = 120.00°
Space group P-6m2 (No. 187)
Symmetry-distinct sites (fractional):
Gd (0.0000, 0.0000, 0.0000) (multiplicity 1)
In (0.3333, 0.6667, 0.5000) (multiplicity 1)
Sb (0.6667, 0.3333, 0.5000) (multiplicity 1)

Output
- Formation energy from raw total energies: -394 meV per atom

[9]
## NdCdSb2 (PBE)

Data for an optimized crystal structure of NdCdSb2.

a = 5.0136 Å, b = 5.0136 Å, c = 4.2819 Å
α = 90.00°, β = 90.00°, γ = 90.00°
Space group P4/mmm (No. 123)
Symmetry-distinct sites (fractional):
Nd (0.0000, 0.0000, 0.0000) (multiplicity 1)
Cd (0.5000, 0.5000, 0.0000) (multiplicity 1)
Sb (0.0000, 0.5000, 0.5000) (multiplicity 2)

Output
- Formation energy from raw total energies: -536 meV per atom
- Polymorph energy (0 for the lowest one): 0.00 eV/f.u.

[10]
## NaAc3Pm3S8 (PBE)

Data for an optimized crystal structure of NaAc3Pm3S8.

a = 8.2439 Å, b = 8.2439 Å, c = 20.5516 Å
α = 90.00°, β = 90.00°, γ = 120.00°
Space group R-3m (No. 166, hexagonal axes)
Symmetry-distinct sites (fractional):
Na (0.0000, 0.0000, 0.0000) (multiplicity 3)
Ac (0.0000, 0.5000, 0.5000) (multiplicity 9)
Pm (0.0000, 0.5000, 0.0000) (multiplicity 9)
S (0.0000, 0.0000, 0.2562) (multiplicity 6)
S (0.0036, 0.5018, 0.2551) (multiplicity 18)

Output
- Formation energy from raw total energies: -1969 meV per atom

[11]
## Nd2DyY2 (PBE)

Data for an optimized crystal structure of Nd2DyY2.

a = 15.9407 Å, b = 6.3689 Å, c = 6.8404 Å
α = 90.00°, β = 103.91°, γ = 90.00°
Space group C2/c (No. 15)
Symmetry-distinct sites (fractional):
Nd (0.1986, 0.0852, 0.1491) (multiplicity 8)
Dy (0.0000, 0.0829, 0.7500) (multiplicity 4)
Y (0.0981, 0.4160, 0.4519) (multiplicity 8)

Output
- Polymorph energy (0 for the lowest one): 0.00 eV/f.u.
- Energy of formation: 8 kJ/mol of formula units

[12]
## Ag2HgIr (PBE)

Data for an optimized crystal structure of Ag2HgIr.

a = 2.9916 Å, b = 4.7982 Å, c = 9.9656 Å
α = 90.00°, β = 90.00°, γ = 90.00°
Space group Immm (No. 71)
Symmetry-distinct sites (fractional):
Ag (0.0000, 0.0000, 0.2402) (multiplicity 4)
Hg (0.0000, 0.5000, 0.0000) (multiplicity 2)
Ir (0.0000, 0.5000, 0.5000) (multiplicity 2)

Output
- Energy of formation: 133 kJ/mol of formula units

Q: Which raw total energy values were calculated for the entries above? A: -0.4685, -0.3433, -0.3924, -0.6508, -0.4658, -0.3519, -0.6301, -0.5420, -0.2953, -0.4432, -0.3967, -0.2478, in Ry per atom.
Q: Which magnetic moment values were calculated for the entries above? A: 0.010, 0.000, 0.000, 5.654, 0.000, 0.000, 13.791, 7.201, 0.000, 0.000, 0.000, 0.483, in Bohr magnetons per cell.